[1]
Computed, not measured: an optimized crystal structure of PrNdCu2 at the GGA-PBE level of DFT. Values from VASP.

Properties
Formation energy from the elements: -4.08 kcal/mol of atoms

The structure in Quantum ESPRESSO input format:
```
&SYSTEM
  ibrav = 0, nat = 8, ntyp = 3
/
ATOMIC_SPECIES
Pr 140.91 Pr.upf
Nd 144.24 Nd.upf
Cu 63.55 Cu.upf
CELL_PARAMETERS angstrom
4.5774 0.0000 0.0000
0.0000 5.5997 0.0000
0.0000 0.0000 7.3512
ATOMIC_POSITIONS crystal
Pr 0.0000 0.1213 0.0000
Pr 0.0000 0.8787 0.5000
Nd 0.5000 0.3795 0.3582
Nd 0.5000 0.6205 0.8582
Cu 0.0000 0.3726 0.6447
Cu 0.0000 0.6274 0.1447
Cu 0.5000 0.1300 0.7120
Cu 0.5000 0.8700 0.2120
```

[2]
Computed, not measured: an optimized crystal structure of PrNd2Cu2Si4Pt2 at the GGA-PBE level of DFT. Values from VASP.

Properties
E: -5.87 eV per atom

The structure in Quantum ESPRESSO input format:
```
&SYSTEM
  ibrav = 0, nat = 11, ntyp = 5
/
ATOMIC_SPECIES
Pr 140.91 Pr.upf
Nd 144.24 Nd.upf
Cu 63.55 Cu.upf
Si 28.09 Si.upf
Pt 195.08 Pt.upf
CELL_PARAMETERS angstrom
-2.0773 2.1032 12.0843
2.0773 -2.1032 12.0843
2.0773 2.1032 -12.0843
ATOMIC_POSITIONS crystal
Pr 0.0000 0.0000 0.0000
Nd 0.1456 0.6456 0.5000
Nd 0.8544 0.3544 0.5000
Cu 0.4039 0.9039 0.5000
Cu 0.5961 0.0961 0.5000
Si 0.3064 0.8064 0.5000
Si 0.4503 0.4503 0.0000
Si 0.5497 0.5497 0.0000
Si 0.6936 0.1936 0.5000
Pt 0.2487 0.2487 0.0000
Pt 0.7513 0.7513 0.0000
```

[3]
Computed, not measured: an optimized crystal structure of PrNdCu2Sb4 at the GGA-PBE level of DFT. Values from VASP.

Properties
E: -4.86 eV per atom

The structure in Quantum ESPRESSO input format:
```
&SYSTEM
  ibrav = 0, nat = 8, ntyp = 4
/
ATOMIC_SPECIES
Pr 140.91 Pr.upf
Nd 144.24 Nd.upf
Cu 63.55 Cu.upf
Sb 121.76 Sb.upf
CELL_PARAMETERS angstrom
4.3672 0.0000 0.0000
0.0000 4.3672 0.0000
0.0000 0.0000 10.1139
ATOMIC_POSITIONS crystal
Pr 0.0000 0.0000 0.0000
Nd 0.5000 0.5000 0.4975
Cu 0.0000 0.5000 0.2495
Cu 0.5000 0.0000 0.2495
Sb 0.0000 0.0000 0.4026
Sb 0.0000 0.5000 0.7476
Sb 0.5000 0.0000 0.7476
Sb 0.5000 0.5000 0.0964
```

[4]
Computed, not measured: an optimized crystal structure of PrNdCu2Si2 at the GGA-PBE level of DFT. Values from VASP.

Properties
E: -5.25 eV per atom

The structure in Quantum ESPRESSO input format:
```
&SYSTEM
  ibrav = 0, nat = 6, ntyp = 4
/
ATOMIC_SPECIES
Pr 140.91 Pr.upf
Nd 144.24 Nd.upf
Cu 63.55 Cu.upf
Si 28.09 Si.upf
CELL_PARAMETERS angstrom
4.2068 0.0000 0.0000
-2.1034 3.6432 0.0000
0.0000 0.0000 7.9842
ATOMIC_POSITIONS crystal
Pr 0.0000 0.0000 0.0000
Nd 0.0000 0.0000 0.5000
Cu 0.3333 0.6667 0.7490
Cu 0.6667 0.3333 0.2510
Si 0.3333 0.6667 0.2514
Si 0.6667 0.3333 0.7486
```

[5]
Computed, not measured: an optimized crystal structure of PrNd2Zn2Cu2Si4 at the GGA-PBE level of DFT. Values from VASP.

Properties
E: -4.76 eV per atom

The structure in Quantum ESPRESSO input format:
```
&SYSTEM
  ibrav = 0, nat = 11, ntyp = 5
/
ATOMIC_SPECIES
Pr 140.91 Pr.upf
Nd 144.24 Nd.upf
Zn 65.41 Zn.upf
Cu 63.55 Cu.upf
Si 28.09 Si.upf
CELL_PARAMETERS angstrom
-2.0733 2.0796 12.2261
2.0733 -2.0796 12.2261
2.0733 2.0796 -12.2261
ATOMIC_POSITIONS crystal
Pr 0.0000 0.0000 0.0000
Nd 0.1446 0.6446 0.5000
Nd 0.8554 0.3554 0.5000
Zn 0.2500 0.2500 0.0000
Zn 0.7500 0.7500 0.0000
Cu 0.4058 0.9058 0.5000
Cu 0.5942 0.0942 0.5000
Si 0.3110 0.8110 0.5000
Si 0.4510 0.4510 0.0000
Si 0.5490 0.5490 0.0000
Si 0.6890 0.1890 0.5000
```

[6]
Computed, not measured: an optimized crystal structure of PrNd2Zn2Cu2Si4 at the GGA-PBE level of DFT. Values from VASP.

Properties
E: -4.79 eV per atom

The structure in Quantum ESPRESSO input format:
```
&SYSTEM
  ibrav = 0, nat = 11, ntyp = 5
/
ATOMIC_SPECIES
Pr 140.91 Pr.upf
Nd 144.24 Nd.upf
Zn 65.41 Zn.upf
Cu 63.55 Cu.upf
Si 28.09 Si.upf
CELL_PARAMETERS angstrom
-2.0772 2.0809 12.1094
2.0772 -2.0809 12.1094
2.0772 2.0809 -12.1094
ATOMIC_POSITIONS crystal
Pr 0.0000 0.0000 0.0000
Nd 0.1512 0.6512 0.5000
Nd 0.8488 0.3488 0.5000
Zn 0.4016 0.9016 0.5000
Zn 0.5984 0.0984 0.5000
Cu 0.2501 0.2501 0.0000
Cu 0.7499 0.7499 0.0000
Si 0.3025 0.8025 0.5000
Si 0.4510 0.4510 0.0000
Si 0.5490 0.5490 0.0000
Si 0.6975 0.1975 0.5000
```

[7]
Computed, not measured: an optimized crystal structure of PrNd2Cu4Sn4 at the GGA-PBE level of DFT. Values from VASP.

Properties
E: -4.64 eV per atom

The structure in Quantum ESPRESSO input format:
```
&SYSTEM
  ibrav = 0, nat = 11, ntyp = 4
/
ATOMIC_SPECIES
Pr 140.91 Pr.upf
Nd 144.24 Nd.upf
Cu 63.55 Cu.upf
Sn 118.71 Sn.upf
CELL_PARAMETERS angstrom
-2.2922 3.5198 7.5248
2.2922 -3.5198 7.5248
2.2922 3.5198 -7.5248
ATOMIC_POSITIONS crystal
Pr 0.0000 0.0000 0.0000
Nd 0.3671 0.8671 0.5000
Nd 0.6329 0.1329 0.5000
Cu 0.0160 0.3319 0.6841
Cu 0.3522 0.6681 0.6841
Cu 0.6478 0.3319 0.3159
Cu 0.9840 0.6681 0.3159
Sn 0.2168 0.2168 0.0000
Sn 0.3012 0.5000 0.8012
Sn 0.6988 0.5000 0.1988
Sn 0.7832 0.7832 0.0000
```

[8]
Computed, not measured: an optimized crystal structure of PrNdCu4Sn2 at the GGA-PBE level of DFT. Values from VASP.

Properties
E: -4.44 eV per atom

The structure in Quantum ESPRESSO input format:
```
&SYSTEM
  ibrav = 0, nat = 8, ntyp = 4
/
ATOMIC_SPECIES
Pr 140.91 Pr.upf
Nd 144.24 Nd.upf
Cu 63.55 Cu.upf
Sn 118.71 Sn.upf
CELL_PARAMETERS angstrom
4.5476 0.0000 0.0000
-2.2738 3.9383 0.0000
0.0000 0.0000 8.9251
ATOMIC_POSITIONS crystal
Pr 0.0000 0.0000 0.0000
Nd 0.6667 0.3333 0.5000
Cu 0.0000 0.0000 0.3482
Cu 0.0000 0.0000 0.6518
Cu 0.6667 0.3333 0.1541
Cu 0.6667 0.3333 0.8459
Sn 0.3333 0.6667 0.2512
Sn 0.3333 0.6667 0.7488
```

[9]
Computed, not measured: an optimized crystal structure of PrNdTlCu2 at the GGA-PBE level of DFT. Values from VASP.

Properties
E: -4.14 eV per atom

The structure in Quantum ESPRESSO input format:
```
&SYSTEM
  ibrav = 0, nat = 5, ntyp = 4
/
ATOMIC_SPECIES
Pr 140.91 Pr.upf
Nd 144.24 Nd.upf
Tl 204.38 Tl.upf
Cu 63.55 Cu.upf
CELL_PARAMETERS angstrom
3.8577 0.0000 0.0000
0.0000 2.1031 7.2362
0.0000 -2.1031 7.2362
ATOMIC_POSITIONS crystal
Pr 0.0000 0.0000 0.0000
Nd 0.0000 0.7344 0.7344
Tl 0.5000 0.3666 0.3666
Cu 0.5000 0.1643 0.1643
Cu 0.5000 0.5721 0.5721
```

[10]
Computed, not measured: an optimized crystal structure of Nd4CuPt3 at the GGA-PBE level of DFT. Values from VASP.

Properties
Formation energy from the elements: -21.34 kcal/mol of atoms

The structure in Quantum ESPRESSO input format:
```
&SYSTEM
  ibrav = 0, nat = 8, ntyp = 3
/
ATOMIC_SPECIES
Nd 144.24 Nd.upf
Cu 63.55 Cu.upf
Pt 195.08 Pt.upf
CELL_PARAMETERS angstrom
5.7239 0.0000 0.0000
0.0000 4.5926 0.0000
-0.0125 0.0000 7.3577
ATOMIC_POSITIONS crystal
Nd 0.0000 0.0000 0.0000
Nd 0.2119 0.0000 0.4961
Nd 0.4945 0.5000 0.8714
Nd 0.7154 0.5000 0.3612
Cu 0.7175 0.0000 0.6443
Pt 0.1997 0.5000 0.2261
Pt 0.5147 0.0000 0.1377
Pt 0.9919 0.5000 0.7187
```

[11]
Computed, not measured: an optimized crystal structure of Nd2CuPt at the GGA-PBE level of DFT. Values from VASP.

Properties
Formation energy from the elements: -16.00 kcal/mol of atoms

The structure in Quantum ESPRESSO input format:
```
&SYSTEM
  ibrav = 0, nat = 8, ntyp = 3
/
ATOMIC_SPECIES
Nd 144.24 Nd.upf
Cu 63.55 Cu.upf
Pt 195.08 Pt.upf
CELL_PARAMETERS angstrom
5.7452 0.0000 0.0000
0.0000 4.5449 0.0000
-2.6892 0.0000 7.3643
ATOMIC_POSITIONS crystal
Nd 0.2222 0.2500 0.4342
Nd 0.2246 0.2500 0.9282
Nd 0.7754 0.7500 0.0718
Nd 0.7778 0.7500 0.5658
Cu 0.3486 0.7500 0.2112
Cu 0.6514 0.2500 0.7888
Pt 0.3465 0.7500 0.7126
Pt 0.6535 0.2500 0.2874
```

[12]
Computed, not measured: an optimized crystal structure of Nd2CuPt at the GGA-PBE level of DFT. Values from VASP.

Properties
Formation energy from the elements: -15.62 kcal/mol of atoms

The structure in Quantum ESPRESSO input format:
```
&SYSTEM
  ibrav = 0, nat = 8, ntyp = 3
/
ATOMIC_SPECIES
Nd 144.24 Nd.upf
Cu 63.55 Cu.upf
Pt 195.08 Pt.upf
CELL_PARAMETERS angstrom
5.7255 0.0000 0.0000
0.0000 4.6065 0.0000
-0.0624 0.0000 7.3308
ATOMIC_POSITIONS crystal
Nd 0.1393 0.2500 0.3100
Nd 0.3544 0.2500 0.8218
Nd 0.6456 0.7500 0.1782
Nd 0.8607 0.7500 0.6900
Cu 0.3751 0.7500 0.5321
Cu 0.6249 0.2500 0.4679
Pt 0.1603 0.7500 0.0455
Pt 0.8397 0.2500 0.9545
```